{"formula": "NiSbRuO6", "functional": "GGA+U", "state": "optimized geometry", "lattice": [[5.192, 0.000, 0.000], [-2.596, 4.496, 0.000], [0.000, 0.000, 8.907]], "species": ["Ni", "Ni", "Sb", "Sb", "Ru", "Ru", "O", "O", "O", "O", "O", "O", "O", "O", "O", "O", "O", "O"], "fractional_positions": [[0.000, 0.000, 0.000], [0.000, 0.000, 0.500], [0.333, 0.667, 0.250], [0.667, 0.333, 0.750], [0.333, 0.667, 0.750], [0.667, 0.333, 0.250], [0.005, 0.351, 0.631], [0.005, 0.655, 0.869], [0.345, 0.351, 0.869], [0.345, 0.995, 0.631], [0.351, 0.005, 0.131], [0.351, 0.345, 0.369], [0.649, 0.655, 0.631], [0.649, 0.995, 0.869], [0.655, 0.005, 0.369], [0.655, 0.649, 0.131], [0.995, 0.345, 0.131], [0.995, 0.649, 0.369]], "mass_density_g_cm3": 6.030, "energy_ev_per_atom": -6.129, "dos_at_fermi_per_ev_cell": 4.1}